Entry from the Open Quantum Materials Database: a relaxed Tb4ZrAl15 crystal (PBE-GGA).

Geometry as POSCAR:
```
Tb4ZrAl15
1.0
4.906 -1.671 -3.113
-5.419 0.019 -2.680
-1.720 11.957 -3.257
Al Tb Zr
15 4 1
Direct
0.426 0.116 0.194
0.500 0.500 0.000
0.130 0.365 0.400
0.116 0.426 0.806
0.000 0.500 0.000
0.574 0.884 0.806
0.635 0.870 0.400
0.884 0.574 0.194
0.116 0.884 0.806
0.365 0.635 0.600
0.500 0.000 0.000
0.870 0.635 0.600
0.635 0.365 0.400
0.884 0.116 0.194
0.365 0.130 0.600
0.869 0.131 0.606
0.600 0.400 0.801
0.131 0.869 0.394
0.400 0.600 0.199
0.000 0.000 0.000
```

Values from the calculation:
Total moment: 0.01 μB per cell
ρ: 4.941 Mg/m³
Calculated total energy: -4.58 eV/atom